1.
Density functional theory data (PBE-GGA) for crystalline HfIrPtBr2 at its relaxed geometry. Values from VASP.

Cell and atoms, written as Quantum ESPRESSO input:
```
&SYSTEM
  ibrav = 0, nat = 5, ntyp = 4
/
ATOMIC_SPECIES
Ir 192.22 Ir.upf
Br 79.90 Br.upf
Pt 195.08 Pt.upf
Hf 178.49 Hf.upf
ATOMIC_POSITIONS angstrom
Ir 0.000 2.597 0.000
Br 0.000 0.000 2.409
Pt 0.000 0.000 0.000
Hf 2.409 2.597 2.409
Br 2.409 0.000 0.000
CELL_PARAMETERS angstrom
4.819 0.000 0.000
0.000 5.194 0.000
0.000 0.000 4.819
```

## Properties
- uncorrected formation energy (eV per atom) = 1.0513

=====

2.
Density functional theory data (PBE-GGA) for crystalline CeTh5Sb6 at its relaxed geometry. Values from VASP.

Cell and atoms, written as Quantum ESPRESSO input:
```
&SYSTEM
  ibrav = 0, nat = 12, ntyp = 3
/
ATOMIC_SPECIES
Ce 140.12 Ce.upf
Sb 121.76 Sb.upf
Th 232.04 Th.upf
ATOMIC_POSITIONS angstrom
Ce 0.000 0.000 0.000
Sb -2.268 5.695 3.640
Sb -4.061 4.283 7.533
Th 0.588 5.914 5.050
Sb -1.351 1.425 2.496
Th -1.202 4.511 8.926
Sb -0.757 7.357 7.552
Sb 0.143 3.067 6.425
Sb 1.654 4.730 10.336
Th -2.706 2.854 5.015
Th 2.997 3.303 7.823
Th 1.497 1.650 3.911
CELL_PARAMETERS angstrom
-5.108 5.472 2.242
-0.304 0.236 7.787
4.798 4.717 3.947
```

## Properties
- uncorrected formation energy (eV per atom) = -0.9374

=====

3.
Density functional theory data (PBE-GGA) for crystalline Sc2TaSb at its relaxed geometry. Values from VASP.

Cell and atoms, written as Quantum ESPRESSO input:
```
&SYSTEM
  ibrav = 0, nat = 4, ntyp = 3
/
ATOMIC_SPECIES
Sc 44.96 Sc.upf
Ta 180.95 Ta.upf
Sb 121.76 Sb.upf
ATOMIC_POSITIONS angstrom
Sc 1.773 -0.500 2.473
Sc 4.380 4.066 1.950
Ta 2.285 2.121 1.017
Sb 3.882 1.458 3.411
CELL_PARAMETERS angstrom
-1.151 -0.413 3.447
2.357 -2.758 0.456
4.446 4.127 1.979
```

## Properties
- uncorrected formation energy (eV per atom) = -0.1692

=====

4.
Density functional theory data (PBE-GGA) for crystalline TbTm4Ru5 at its relaxed geometry. Values from VASP.

Cell and atoms, written as Quantum ESPRESSO input:
```
&SYSTEM
  ibrav = 0, nat = 10, ntyp = 3
/
ATOMIC_SPECIES
Ru 101.07 Ru.upf
Tb 158.93 Tb.upf
Tm 168.93 Tm.upf
ATOMIC_POSITIONS angstrom
Ru -11.675 2.298 -1.429
Ru -8.624 1.027 -0.948
Ru -5.573 -0.243 -0.467
Tb 0.000 0.000 0.000
Ru -2.519 -1.515 0.015
Tm -6.152 2.562 -0.970
Tm -9.206 3.833 -1.451
Ru -14.729 3.569 -1.910
Tm -3.101 1.291 -0.489
Tm -12.257 5.104 -1.932
CELL_PARAMETERS angstrom
-0.733 -2.547 -2.079
-1.158 -1.794 2.605
-15.358 6.395 -2.421
```

## Properties
- formation enthalpy at 0 K (eV per formula unit) = -3.91

=====

5.
Density functional theory data (PBE-GGA) for crystalline KBa2Zn2 at its relaxed geometry. Values from VASP.

Cell and atoms, written as Quantum ESPRESSO input:
```
&SYSTEM
  ibrav = 0, nat = 10, ntyp = 3
/
ATOMIC_SPECIES
Ba 137.33 Ba.upf
Zn 65.41 Zn.upf
K 39.10 K.upf
ATOMIC_POSITIONS angstrom
Ba -4.269 -2.169 4.324
Zn -2.332 -9.167 5.113
Zn -4.120 -4.526 6.994
Ba -0.652 -3.714 0.618
Zn -0.853 -1.931 3.697
K 0.000 0.000 0.000
K -3.018 -5.531 3.006
Ba -1.767 -8.893 1.688
Ba -5.384 -7.348 5.395
Zn 0.934 -6.572 1.816
CELL_PARAMETERS angstrom
-6.865 -1.271 6.981
0.828 -9.791 -0.969
2.851 -0.036 2.797
```

## Properties
- formation enthalpy at 0 K (eV per formula unit) = 0.05
- energy above the lowest structure with this stoichiometry (eV per formula unit) = 0.28

=====

6.
Density functional theory data (PBE-GGA) for crystalline La2SmTh3As6 at its relaxed geometry. Values from VASP.

Cell and atoms, written as Quantum ESPRESSO input:
```
&SYSTEM
  ibrav = 0, nat = 12, ntyp = 4
/
ATOMIC_SPECIES
Sm 150.36 Sm.upf
La 138.91 La.upf
As 74.92 As.upf
Th 232.04 Th.upf
ATOMIC_POSITIONS angstrom
Sm -0.613 0.590 -1.967
La -7.368 -2.242 -0.711
As -4.555 -2.893 -1.783
Th -4.559 -5.451 -0.214
As -3.374 1.231 -0.915
As -7.350 -4.883 0.825
As -6.168 -0.759 1.694
As -1.806 -6.037 -1.248
As -8.918 2.385 1.159
La -3.355 -1.410 0.622
Th -1.792 -3.442 -2.808
Th -6.165 1.799 0.125
CELL_PARAMETERS angstrom
-1.225 1.179 -3.934
-2.359 -8.063 -1.683
-7.139 3.231 5.527
```

## Properties
- formation enthalpy at 0 K (eV per formula unit) = -17.94

=====

Question: What is the formula in the sixth record?
Answer: La2SmTh3As6

=====

Question: What is the formula in the fourth record?
Answer: TbTm4Ru5